Entry 1:
13
Lattice="6.941 -4.041 0.000 6.941 4.041 0.000 -2.417 0.000 6.394" Properties=species:S:1:pos:R:3 comment="GGA-PBE Pm3Dy2S8, optimized geometry" magnetic_moment_mub_per_fu=0.00 spacegroup="C2/m (12)" total_energy_ev_per_atom=-6.173 e_form_raw_ev_per_atom=-1.829 pbc="T T T"
Pm 0.000 0.000 0.000
Pm 5.732 1.907 3.197
Pm 5.732 -1.907 3.197
Dy 1.604 0.000 5.403
Dy 9.860 0.000 0.991
S 4.962 2.155 0.527
S 0.612 0.000 2.792
S 6.502 2.155 5.867
S 3.838 0.000 3.876
S 7.627 0.000 2.518
S 4.962 -2.155 0.527
S 10.853 0.000 3.601
S 6.502 -2.155 5.867

=====

Entry 2:
30
Lattice="6.986 0.000 0.000 -3.493 6.050 0.000 0.000 0.000 18.623" Properties=species:S:1:pos:R:3 comment="GGA-PBE Pm2Dy4S9, optimized geometry" magnetic_moment_mub_per_fu=0.00 spacegroup="P-3c1 (165)" total_energy_ev_per_atom=-6.385 e_form_raw_ev_per_atom=-2.048 pbc="T T T"
Pm 0.000 0.000 2.728
Pm 0.000 0.000 6.583
Pm 0.000 0.000 12.040
Pm 0.000 0.000 15.895
Dy 0.000 4.033 3.442
Dy 0.000 4.033 9.014
Dy 0.000 4.033 12.753
Dy 0.000 4.033 18.326
Dy 3.493 2.017 0.297
Dy 3.493 2.017 5.870
Dy 3.493 2.017 9.609
Dy 3.493 2.017 15.181
S -1.064 1.844 4.656
S -2.428 4.206 13.967
S -1.098 2.276 10.869
S -2.071 3.961 1.558
S 2.129 0.000 4.656
S 1.064 1.844 13.967
S 1.098 2.276 1.558
S -0.973 5.863 10.869
S 2.520 0.187 17.065
S 1.422 2.089 7.754
S 2.071 3.961 10.869
S 0.973 5.863 1.558
S 4.466 0.187 7.754
S 2.395 3.774 17.065
S 4.857 0.000 13.967
S 2.428 4.206 4.656
S 5.564 2.089 17.065
S 4.591 3.774 7.754

=====

Entry 3:
15
Lattice="5.609 -5.612 0.000 5.609 5.612 0.000 -5.594 0.000 5.614" Properties=species:S:1:pos:R:3 comment="GGA-PBE Pm4Dy3S8, optimized geometry" magnetic_moment_mub_per_fu=0.00 spacegroup="C2/m (12)" total_energy_ev_per_atom=-6.428 e_form_raw_ev_per_atom=-2.040 pbc="T T T"
Pm 0.000 0.000 0.000
Pm 2.804 2.806 0.000
Pm 2.804 -2.806 0.000
Pm 2.812 0.000 2.807
Dy 0.008 2.806 2.807
Dy 0.008 -2.806 2.807
Dy 5.609 0.000 0.000
S 2.812 2.842 2.807
S -0.031 0.000 2.850
S -2.745 0.000 5.581
S 5.609 2.764 0.000
S 5.609 -2.764 0.000
S 8.369 0.000 0.033
S 5.655 0.000 2.764
S 2.812 -2.842 2.807

=====

Entry 4:
13
Lattice="6.919 -4.011 0.000 6.919 4.011 0.000 -2.320 0.000 6.331" Properties=species:S:1:pos:R:3 comment="GGA-PBE Pm2Dy3S8, optimized geometry" magnetic_moment_mub_per_fu=0.00 spacegroup="C2/m (12)" total_energy_ev_per_atom=-6.224 e_form_raw_ev_per_atom=-1.891 pbc="T T T"
Pm 2.892 0.000 0.995
Pm 8.625 0.000 5.336
Dy 5.759 2.105 3.166
Dy 6.919 0.000 0.000
Dy 5.759 -2.105 3.166
S 0.680 0.000 2.685
S 5.030 1.858 0.555
S 4.009 0.000 3.634
S 6.488 1.858 5.776
S 5.030 -1.858 0.555
S 7.508 0.000 2.698
S 6.488 -1.858 5.776
S 10.838 0.000 3.646

=====

Entry 5:
10
Lattice="3.512 2.028 6.227 -3.512 2.028 6.227 0.000 -4.055 6.227" Properties=species:S:1:pos:R:3 comment="GGA-PBE PmDyS3, optimized geometry" magnetic_moment_mub_per_fu=0.00 spacegroup="R-3 (148)" total_energy_ev_per_atom=-6.389 e_form_raw_ev_per_atom=-2.042 pbc="T T T"
Pm 0.000 0.000 2.713
Pm 0.000 0.000 15.967
Dy 0.000 0.000 6.522
Dy 0.000 0.000 12.158
S -1.418 -1.962 7.770
S -2.408 0.247 10.910
S -0.990 2.209 7.770
S 0.990 -2.209 10.910
S 2.408 -0.247 7.770
S 1.418 1.962 10.910

=====

Entry 6:
16
Lattice="3.979 2.297 6.540 -3.979 2.297 6.540 0.000 -4.594 6.540" Properties=species:S:1:pos:R:3 comment="GGA-PBE Pm5Dy3S8, optimized geometry" magnetic_moment_mub_per_fu=0.00 spacegroup="R-3m (166)" total_energy_ev_per_atom=-6.426 e_form_raw_ev_per_atom=-2.015 pbc="T T T"
Pm 0.000 0.000 0.000
Pm -1.989 -1.149 6.540
Pm -1.989 1.149 13.079
Pm 0.000 2.297 6.540
Pm 0.000 0.000 9.809
Dy -3.979 0.000 9.809
Dy -1.989 1.149 3.270
Dy 1.989 1.149 3.270
S -2.024 -1.169 11.385
S 0.000 0.000 4.819
S 0.000 -2.337 8.233
S -2.024 1.169 8.233
S 2.024 -1.169 11.385
S 0.000 2.337 11.385
S 0.000 0.000 14.799
S 2.024 1.169 8.233